# 1
BeCdIn | the Alexandria database | PBE | optimized geometry; space-group type = P3m1 (156); D(E_F) = 1.45 states/eV per cell; total moment = 0.000 μB per atom; polymorph energy (0 for the lowest one) = 150 meV per atom
1.0
3.2449 0.0000 0.0000
-1.6224 2.8101 0.0000
0.0000 0.0000 6.3458
Be Cd In
1 1 1
Cartesian
0.0000 0.0000 0.0000
1.6224 0.9367 1.8179
0.0000 1.8734 4.3753

***

# 2
Bi2Pd2Rh | the Alexandria database | PBE | optimized geometry; space-group type = P4/mbm (127); D(E_F) = 8.39 states/eV per cell; total moment = 0.062 μB per atom; polymorph energy (0 for the lowest one) = 133 meV per atom
1.0
7.4303 0.0000 0.0000
0.0000 7.4303 0.0000
0.0000 0.0000 3.6672
Bi Pd Rh
4 4 2
Cartesian
1.3049 2.4103 0.0000
2.4103 6.1255 0.0000
5.0200 1.3049 0.0000
6.1255 5.0200 0.0000
0.9690 4.6842 1.8336
2.7462 0.9690 1.8336
4.6842 6.4613 1.8336
6.4613 2.7462 1.8336
0.0000 0.0000 1.8336
3.7152 3.7152 1.8336

***

# 3
NdErInGa | the Alexandria database | PBE | optimized geometry; space-group type = P4mm (99); D(E_F) = 2.21 states/eV per cell; total moment = 0.000 μB per atom; polymorph energy (0 for the lowest one) = 0 meV per atom
1.0
3.6813 0.0000 0.0000
0.0000 3.6813 0.0000
0.0000 0.0000 7.5505
Nd Er In Ga
1 1 1 1
Cartesian
0.0000 0.0000 0.0000
0.0000 0.0000 3.5648
1.8406 1.8406 5.4494
1.8406 1.8406 1.9078

***

# 4
Li2ReRu | the Alexandria database | PBE | optimized geometry; space-group type = Pmm2 (25); D(E_F) = 2.55 states/eV per cell; total moment = 0.000 μB per atom; polymorph energy (0 for the lowest one) = 39 meV per atom
1.0
2.6658 0.0000 0.0000
0.0000 4.0023 0.0000
0.0000 0.0000 5.5125
Li Re Ru
2 1 1
Cartesian
0.0000 0.0000 0.0000
1.3329 2.0011 1.1911
0.0000 0.0000 2.8773
1.3329 2.0011 3.8301

***

# 5
CsAc2Ge6 | the Alexandria database | PBE | optimized geometry; final energy = -4.317 eV/atom; space-group type = Immm (71); D(E_F) = 3.33 states/eV per cell; total moment = 0.000 μB per atom
1.0
-2.6098 3.4196 7.8103
2.6098 -3.4196 7.8103
2.6098 3.4196 -7.8103
Cs Ac Ge
1 2 6
Cartesian
0.0000 0.0000 0.0000
2.6098 0.0000 5.0969
0.0000 3.4196 2.7134
2.6098 1.3230 -2.2799
2.6098 2.2216 0.0000
2.6098 1.3230 2.2799
0.0000 2.0966 5.5304
0.0000 1.1980 7.8103
0.0000 2.0966 10.0902

***

# 6
Tl3MoRh | the Alexandria database | PBE | optimized geometry; space-group type = Pm-3m (221); D(E_F) = 7.63 states/eV per cell; total moment = 0.417 μB per atom; polymorph energy (0 for the lowest one) = 328 meV per atom
1.0
5.3087 0.0000 0.0000
0.0000 5.3087 0.0000
0.0000 0.0000 5.3087
Tl Mo Rh
3 1 1
Cartesian
0.0000 0.0000 2.6543
0.0000 2.6543 0.0000
2.6543 0.0000 0.0000
0.0000 0.0000 0.0000
2.6543 2.6543 2.6543

***

# 7
CeNdErTl | the Alexandria database | PBE | optimized geometry; final energy = -4.390 eV/atom; space-group type = F-43m (216); D(E_F) = 6.74 states/eV per cell; total moment = 0.045 μB per atom
1.0
0.0000 3.8602 3.8602
3.8602 0.0000 3.8602
3.8602 3.8602 0.0000
Ce Nd Er Tl
1 1 1 1
Cartesian
0.0000 0.0000 0.0000
1.9301 1.9301 1.9301
5.7904 5.7904 5.7904
3.8602 3.8602 3.8602

***

# 8
NdY12Tm5 | the Alexandria database | PBE | optimized geometry; final energy = -5.789 eV/atom; space-group type = Cmmm (65); D(E_F) = 26.89 states/eV per cell; total moment = 0.000 μB per atom
1.0
7.5352 -7.5510 0.0000
7.5352 7.5510 0.0000
0.0000 0.0000 5.0238
Nd Y Tm
1 12 5
Cartesian
0.0000 0.0000 0.0000
5.0328 5.0190 0.0000
2.5129 0.0000 2.5119
5.0525 2.5089 2.5119
10.0377 5.0190 0.0000
5.0509 0.0000 0.0000
10.0180 2.5089 2.5119
5.0525 -2.5089 2.5119
10.0196 0.0000 0.0000
5.0328 -5.0190 0.0000
10.0180 -2.5089 2.5119
12.5576 0.0000 2.5119
10.0377 -5.0190 0.0000
7.5352 5.0117 2.5119
7.5352 2.5130 0.0000
7.5352 0.0000 2.5119
7.5352 -2.5130 0.0000
7.5352 -5.0117 2.5119

***

# 9
ThUGe | the Alexandria database | PBE | optimized geometry; space-group type = P3m1 (156); D(E_F) = 5.85 states/eV per cell; total moment = 0.992 μB per atom; polymorph energy (0 for the lowest one) = 0 meV per atom
1.0
5.0733 0.0000 0.0000
-2.5366 4.3936 0.0000
0.0000 0.0000 3.2645
Th U Ge
1 1 1
Cartesian
0.0000 0.0000 0.0000
0.0000 2.9291 1.8107
2.5366 1.4645 1.0915

***

# 10
CrMo2As | the Alexandria database | PBE | optimized geometry; final energy = -8.823 eV/atom; space-group type = Cmmm (65); D(E_F) = 4.16 states/eV per cell; total moment = 0.169 μB per atom
1.0
2.8997 -3.2048 0.0000
2.8997 3.2048 0.0000
0.0000 0.0000 3.1456
Cr Mo As
1 2 1
Cartesian
0.0000 0.0000 0.0000
1.4499 1.6024 1.5728
1.4499 -1.6024 1.5728
2.8997 0.0000 0.0000

***

# 11
SmPu4N4 | the Alexandria database | PBE | optimized geometry; ΔE_f (raw) = -1.0928 eV/atom; space-group type = I4/m (87); D(E_F) = 21.38 states/eV per cell; total moment = 2.299 μB per atom
1.0
-3.9222 3.9222 2.4828
3.9222 -3.9222 2.4828
3.9222 3.9222 -2.4828
Sm Pu N
1 4 4
Cartesian
0.0000 0.0000 0.0000
4.7491 1.5179 0.0000
1.5179 3.0952 0.0000
2.4042 0.8269 2.4828
-0.8269 2.4042 2.4828
2.4509 0.7268 0.0000
3.1953 -1.4713 2.4828
0.7268 5.3935 0.0000
1.4713 3.1953 2.4828

***

# 12
MgCr2W | the Alexandria database | PBE | optimized geometry; space-group type = P2/m (10); D(E_F) = 2.93 states/eV per cell; total moment = 0.000 μB per atom; polymorph energy (0 for the lowest one) = 101 meV per atom
1.0
2.6159 0.0000 0.0000
0.0000 4.2664 0.0000
-0.8431 0.0000 5.2003
Mg Cr W
1 2 1
Cartesian
0.0000 0.0000 0.0000
0.0296 2.1332 3.7770
1.7432 2.1332 1.4233
0.8864 0.0000 2.6002

***

# 13
NdGdCoPt | the Alexandria database | PBE | optimized geometry; final energy = -8.535 eV/atom; space-group type = F-43m (216); D(E_F) = 3.17 states/eV per cell; total moment = 1.667 μB per atom
1.0
0.0000 3.5074 3.5074
3.5074 0.0000 3.5074
3.5074 3.5074 0.0000
Nd Gd Co Pt
1 1 1 1
Cartesian
0.0000 0.0000 0.0000
3.5074 3.5074 3.5074
5.2612 5.2612 5.2612
1.7537 1.7537 1.7537

***

# 14
SrTm2P | the Alexandria database | PBE | optimized geometry; final energy = -4.562 eV/atom; space-group type = R-3m (166); D(E_F) = 3.18 states/eV per cell; total moment = 0.000 μB per atom
1.0
1.9191 1.1080 10.2577
-1.9191 1.1080 10.2577
0.0000 -2.2160 10.2577
Sr Tm P
1 2 1
Cartesian
0.0000 0.0000 0.0000
0.0000 0.0000 3.5909
0.0000 0.0000 27.1821
0.0000 0.0000 15.3865

***

# 15
Sm3YEr6Tm2 | the Alexandria database | PBE | optimized geometry; final energy = -4.723 eV/atom; space-group type = C2/m (12); D(E_F) = 16.74 states/eV per cell; total moment = 0.000 μB per atom
1.0
3.0688 -5.3099 0.0000
3.0688 5.3099 0.0000
-2.0398 0.0000 11.5310
Sm Y Er Tm
3 1 6 2
Cartesian
0.0000 0.0000 0.0000
3.0688 1.7710 0.0000
3.0688 -1.7710 0.0000
2.0489 0.0000 5.7655
1.0223 1.7751 2.9147
-0.0021 0.0000 8.6158
1.0223 -1.7751 2.9147
3.0755 1.7751 8.6163
4.0999 0.0000 2.9152
3.0755 -1.7751 8.6163
2.0489 3.5394 5.7655
2.0489 -3.5394 5.7655

***

# 16
CaGd2Hg | the Alexandria database | PBE | optimized geometry; space-group type = P4/mmm (123); D(E_F) = 7.61 states/eV per cell; total moment = 3.859 μB per atom; polymorph energy (0 for the lowest one) = 0 meV per atom
1.0
3.7466 0.0000 0.0000
0.0000 3.7466 0.0000
0.0000 0.0000 9.1654
Ca Gd Hg
1 2 1
Cartesian
0.0000 0.0000 0.0000
1.8733 1.8733 2.7578
1.8733 1.8733 6.4076
0.0000 0.0000 4.5827

***

# 17
Dy2Pd6Pt | the Alexandria database | PBE | optimized geometry; final energy = -5.832 eV/atom; space-group type = Fmmm (69); D(E_F) = 4.58 states/eV per cell; total moment = 0.000 μB per atom
1.0
0.0000 5.8410 6.4127
2.1148 0.0000 6.4127
2.1148 5.8410 0.0000
Dy Pd Pt
2 6 1
Cartesian
2.1148 5.8410 1.9007
2.1148 5.8410 10.9248
2.1148 3.8858 4.2385
2.1148 2.0500 6.4127
2.1148 7.7961 4.2385
2.1148 3.8858 8.5869
2.1148 9.6319 6.4127
2.1148 7.7961 8.5869
2.1148 5.8410 6.4127

***

# 18
Rb2TlSiBr6 | the Alexandria database | PBE | optimized geometry; ΔE_f (raw) = -1.0355 eV/atom; space-group type = I4/mmm (139); D(E_F) = 4.71 states/eV per cell; total moment = 0.000 μB per atom
1.0
-4.0196 4.0196 5.6682
4.0196 -4.0196 5.6682
4.0196 4.0196 -5.6682
Rb Tl Si Br
2 1 1 6
Cartesian
4.0196 0.0000 2.8341
0.0000 4.0196 2.8341
0.0000 0.0000 0.0000
0.0000 0.0000 5.6682
0.0000 0.0000 3.1007
2.2006 2.2006 0.0000
1.8191 -1.8191 5.6682
-1.8191 1.8191 5.6682
0.0000 0.0000 8.2357
1.8191 1.8191 5.6682

***

# 19
Ho6Tm5In | the Alexandria database | PBE | optimized geometry; final energy = -4.433 eV/atom; space-group type = Immm (71); D(E_F) = 17.36 states/eV per cell; total moment = 0.000 μB per atom
1.0
-2.4533 4.8956 7.4166
2.4533 -4.8956 7.4166
2.4533 4.8956 -7.4166
Ho Tm In
6 5 1
Cartesian
2.4533 2.4176 -2.4799
0.0000 2.4003 0.0000
2.4533 2.4176 2.4799
0.0000 2.4780 4.9367
0.0000 7.3909 0.0000
0.0000 2.4780 9.8965
0.0000 0.0000 2.4766
2.4533 0.0000 4.9909
0.0000 0.0000 7.4166
0.0000 4.8956 2.4257
0.0000 0.0000 12.3566
2.4533 0.0000 0.0000

***

# 20
La3TbHo6 | the Alexandria database | PBE | optimized geometry; space-group type = Cmc2_1 (36); D(E_F) = 28.32 states/eV per cell; total moment = 0.000 μB per atom; polymorph energy (0 for the lowest one) = 0 meV per atom
1.0
5.5235 -9.5345 0.0000
5.5235 9.5345 0.0000
0.0000 0.0000 6.3457
La Tb Ho
6 2 12
Cartesian
5.5235 7.4028 3.1728
3.6023 2.1627 5.6974
3.6023 -2.1627 2.5245
7.4448 2.1627 5.6974
7.4448 -2.1627 2.5245
5.5235 -7.4028 0.0000
5.5235 3.7222 3.5417
5.5235 -3.7222 0.3689
2.6770 4.0182 1.9257
1.8541 0.8880 3.0347
1.8541 -0.8880 6.2075
5.5235 5.2398 0.4745
2.6770 -4.0182 5.0986
5.5235 0.7316 1.9646
5.5235 -0.7316 5.1374
8.3701 4.0182 1.9257
5.5235 -5.2398 3.6474
9.1929 0.8880 3.0347
9.1929 -0.8880 6.2075
8.3701 -4.0182 5.0986

***

# 21
TcSnPt3 | the Alexandria database | PBE | optimized geometry; space-group type = Pm-3m (221); D(E_F) = 2.86 states/eV per cell; total moment = 0.887 μB per atom; polymorph energy (0 for the lowest one) = 429 meV per atom
1.0
4.9134 0.0000 0.0000
0.0000 4.9134 0.0000
0.0000 0.0000 4.9134
Tc Sn Pt
1 1 3
Cartesian
0.0000 0.0000 0.0000
2.4567 2.4567 2.4567
0.0000 2.4567 2.4567
2.4567 0.0000 2.4567
2.4567 2.4567 0.0000

***

# 22
MgGaTc | the Alexandria database | PBE | optimized geometry; space-group type = I4mm (107); D(E_F) = 1.74 states/eV per cell; total moment = 0.001 μB per atom; polymorph energy (0 for the lowest one) = 5 meV per atom
1.0
-1.6338 1.6338 4.6216
1.6338 -1.6338 4.6216
1.6338 1.6338 -4.6216
Mg Ga Tc
1 1 1
Cartesian
0.0000 0.0000 0.0000
0.0000 0.0000 2.7738
0.0000 0.0000 6.3061

***

# 23
PmPu5Ir3 | the Alexandria database | PBE | optimized geometry; final energy = -11.585 eV/atom; space-group type = C2/m (12); D(E_F) = 81.80 states/eV per cell; total moment = 1.749 μB per atom
1.0
5.9597 -4.0915 0.0000
5.9597 4.0915 0.0000
-1.8415 0.0000 9.7701
Pm Pu Ir
2 10 6
Cartesian
1.1523 0.0000 2.9967
8.9255 0.0000 6.7734
3.7772 2.5492 2.8852
2.7519 0.0000 0.2002
5.9597 1.4892 0.0000
6.3007 2.5492 6.8849
3.6137 0.0000 5.3243
6.4642 0.0000 4.4458
3.7772 -2.5492 2.8852
5.9597 -1.4892 0.0000
7.3259 0.0000 9.5699
6.3007 -2.5492 6.8849
0.0000 0.0000 0.0000
-0.9208 0.0000 4.8850
2.5548 0.0000 7.8332
4.4940 0.0000 2.3500
5.5838 0.0000 7.4201
7.5231 0.0000 1.9369

***

# 24
Tb8SnBi5 | the Alexandria database | PBE | optimized geometry; final energy = -5.069 eV/atom; space-group type = I-4 (82); D(E_F) = 16.73 states/eV per cell; total moment = 0.000 μB per atom
1.0
-4.7023 4.7023 4.7164
4.7023 -4.7023 4.7164
4.7023 4.7023 -4.7164
Tb Sn Bi
8 1 5
Cartesian
4.0347 3.0589 -2.8040
4.0169 1.7199 0.4978
2.9825 -0.6854 4.2186
0.6677 1.6434 1.9125
1.7199 5.3878 -0.4978
1.6434 -0.6677 7.5204
3.0589 5.3700 2.8040
0.6854 2.9825 5.2143
0.0000 0.0000 4.7164
1.1553 2.3598 -1.1500
7.0449 1.1553 1.1500
3.5470 2.3426 3.5664
0.0000 4.7023 2.3582
-2.3426 3.5470 5.8664

***

# 25
ZrNiW2 | the Alexandria database | PBE | optimized geometry; space-group type = Cm (8); D(E_F) = 2.84 states/eV per cell; total moment = 0.000 μB per atom; polymorph energy (0 for the lowest one) = 226 meV per atom
1.0
4.7852 -1.3723 0.0000
4.7852 1.3723 0.0000
-1.0525 0.0000 5.0424
Zr Ni W
1 1 2
Cartesian
0.0000 0.0000 0.0000
1.5259 0.0000 4.2682
4.7808 0.0000 2.6485
7.2039 0.0000 1.6782